# H3IrPb

An optimized crystal structure of H3IrPb (PBE, the Alexandria database).

For the total energy, the calculation gives -3.0395 eV per atom.

Structure (CIF):
```
data_H3IrPb
_chemical_formula_sum 'H3 Ir1 Pb1'
_cell_length_a 4.007
_cell_length_b 4.007
_cell_length_c 4.007
_cell_angle_alpha 90.00
_cell_angle_beta 90.00
_cell_angle_gamma 90.00
_space_group_name_H-M_alt 'P m -3 m'
_space_group_IT_number 221
_space_group_name_Hall '-P 4 2 3'
loop_
_atom_site_label
_atom_site_fract_x
_atom_site_fract_y
_atom_site_fract_z
H1 0.000 0.000 0.500
Ir1 0.500 0.500 0.500
Pb1 0.000 0.000 0.000
```


# CeErTmLu

An optimized crystal structure of CeErTmLu (PBE, the Alexandria database).

For the total energy, the calculation gives -4.7357 eV per atom.

Structure (CIF):
```
data_CeErTmLu
_chemical_formula_sum 'Ce4 Er4 Tm4 Lu4'
_cell_length_a 7.883
_cell_length_b 7.883
_cell_length_c 7.883
_cell_angle_alpha 90.00
_cell_angle_beta 90.00
_cell_angle_gamma 90.00
_space_group_name_H-M_alt 'F -4 3 m'
_space_group_IT_number 216
_space_group_name_Hall 'F -4 2 3'
loop_
_atom_site_label
_atom_site_fract_x
_atom_site_fract_y
_atom_site_fract_z
Ce1 0.000 0.000 0.000
Er1 0.000 0.000 0.500
Tm1 0.250 0.250 0.750
Lu1 0.250 0.250 0.250
```


# Nd2Ni4Ge3Au

An optimized crystal structure of Nd2Ni4Ge3Au (PBE, the Alexandria database).

For the total energy, the calculation gives -5.5757 eV per atom.

Structure (CIF):
```
data_Nd2Ni4Ge3Au
_chemical_formula_sum 'Nd2 Ni4 Ge3 Au1'
_cell_length_a 4.225
_cell_length_b 4.225
_cell_length_c 9.723
_cell_angle_alpha 90.00
_cell_angle_beta 90.00
_cell_angle_gamma 90.00
_space_group_name_H-M_alt 'P -4 m 2'
_space_group_IT_number 115
loop_
_space_group_symop_operation_xyz
'x,y,z'
'y,-x,-z'
'-x,-y,z'
'-y,x,-z'
'-x,y,z'
'-y,-x,-z'
'x,-y,z'
'y,x,-z'
loop_
_atom_site_label
_atom_site_fract_x
_atom_site_fract_y
_atom_site_fract_z
Nd1 0.000 0.500 0.246
Ni1 0.000 0.000 0.000
Ni2 0.000 0.500 0.640
Ni3 0.500 0.500 0.000
Ge1 0.000 0.500 0.880
Ge2 0.500 0.500 0.500
Au1 0.000 0.000 0.500
```


# DyScZn4

An optimized crystal structure of DyScZn4 (PBE, the Alexandria database).

For the total energy, the calculation gives -3.0254 eV per atom.

Structure (CIF):
```
data_DyScZn4
_chemical_formula_sum 'Dy1 Sc1 Zn4'
_cell_length_a 3.318
_cell_length_b 4.441
_cell_length_c 7.682
_cell_angle_alpha 90.00
_cell_angle_beta 90.00
_cell_angle_gamma 90.00
_space_group_name_H-M_alt 'P m m m'
_space_group_IT_number 47
loop_
_space_group_symop_operation_xyz
'x,y,z'
'-x,-y,-z'
'-x,-y,z'
'x,y,-z'
'x,-y,-z'
'-x,y,z'
'-x,y,-z'
'x,-y,z'
loop_
_atom_site_label
_atom_site_fract_x
_atom_site_fract_y
_atom_site_fract_z
Dy1 0.000 0.000 0.000
Sc1 0.000 0.500 0.500
Zn1 0.500 0.000 0.339
Zn2 0.500 0.500 0.175
```


# TaMnI2

An optimized crystal structure of TaMnI2 (PBE, the Alexandria database).

Its uncorrected formation energy is 5.15 eV per formula unit.

Structure (CIF):
```
data_TaMnI2
_chemical_formula_sum 'Ta4 Mn4 I8'
_cell_length_a 6.162
_cell_length_b 6.162
_cell_length_c 11.192
_cell_angle_alpha 90.00
_cell_angle_beta 90.00
_cell_angle_gamma 90.00
_space_group_name_H-M_alt 'I -4 2 d'
_space_group_IT_number 122
_space_group_name_Hall 'I -4 2bw'
loop_
_atom_site_label
_atom_site_fract_x
_atom_site_fract_y
_atom_site_fract_z
Ta1 0.000 0.000 0.000
Mn1 0.000 0.000 0.500
I1 0.217 0.250 0.625
```


# Cr2FeGeC

An optimized crystal structure of Cr2FeGeC (PBE, the Alexandria database).

For the total energy, the calculation gives -8.2920 eV per atom.

Structure (CIF):
```
data_Cr2FeGeC
_chemical_formula_sum 'Cr2 Fe1 Ge1 C1'
_cell_length_a 3.891
_cell_length_b 3.891
_cell_length_c 3.742
_cell_angle_alpha 90.00
_cell_angle_beta 90.00
_cell_angle_gamma 90.00
_space_group_name_H-M_alt 'P 4/m m m'
_space_group_IT_number 123
_space_group_name_Hall '-P 4 2'
loop_
_atom_site_label
_atom_site_fract_x
_atom_site_fract_y
_atom_site_fract_z
Cr1 0.000 0.500 0.000
Fe1 0.000 0.000 0.500
Ge1 0.500 0.500 0.500
C1 0.000 0.000 0.000
```


Magnetic moment? In order: 2.0; 0.7; 0.0; 0.0; 1.2; 3.4 μB/f.u..